# Lu2PaNb | Alexandria | PBE-GGA | optimized geometry
# DFT formation energy in eV per atom: 0.48
# Crystal system: trigonal
# Total magnetization in Bohr magnetons per cell: 0.64
data_Lu2PaNb
_symmetry_space_group_name_H-M 'P 1'
_symmetry_Int_Tables_number 1
_cell_length_a 3.196
_cell_length_b 3.196
_cell_length_c 11.499
_cell_angle_alpha 82.01
_cell_angle_beta 82.01
_cell_angle_gamma 60.00
loop_
_symmetry_equiv_pos_as_xyz
'x,y,z'
loop_
_atom_site_label
_atom_site_type_symbol
_atom_site_fract_x
_atom_site_fract_y
_atom_site_fract_z
Nb1 Nb 0.000 0.000 0.000
Pa1 Pa 0.500 0.500 0.500
Lu1 Lu 0.085 0.085 0.744
Lu2 Lu 0.915 0.915 0.256